# 1
{"formula": "SrCuAu2", "functional": "GGA-PBEsol", "state": "relaxed", "crystal_system": "trigonal", "polymorph_energy_mev_per_atom": 0, "final_energy_ev_per_cell": -15.7, "rho_kg_m3": 10266, "total_magnetization_mub_per_atom": 0.000, "sg": "R-3m (166)", "lattice_angstrom": [[2.2123, 1.2772, 5.2005], [-2.2123, 1.2772, 5.2005], [0.0000, -2.5545, 5.2005]], "species": ["Sr", "Cu", "Au", "Au"], "frac_coords": [[0.0000, 0.0000, 0.0000], [0.5000, 0.5000, 0.5000], [0.2045, 0.2045, 0.2045], [0.7955, 0.7955, 0.7955]]}


# 2
{"formula": "Sr2CuAu", "functional": "GGA-PBEsol", "state": "relaxed", "crystal_system": "tetragonal", "final_energy_ev_per_cell": -12.6, "rho_kg_m3": 6480, "total_magnetization_mub_per_atom": 0.000, "sg": "P4mm (99)", "lattice_angstrom": [[3.6423, 0.0000, 0.0000], [0.0000, 3.6423, 0.0000], [0.0000, 0.0000, 8.4174]], "species": ["Sr", "Sr", "Cu", "Au"], "frac_coords": [[0.0000, 0.0000, 0.0000], [0.5000, 0.5000, 0.4206], [0.5000, 0.5000, 0.7694], [0.0000, 0.0000, 0.6444]]}


# 3
{"formula": "SrCuAu4", "functional": "GGA-PBEsol", "state": "relaxed", "crystal_system": "cubic", "final_energy_ev_per_cell": -23.4, "rho_kg_m3": 13313, "total_magnetization_mub_per_atom": 0.000, "sg": "F-43m (216)", "lattice_angstrom": [[0.0000, 3.8833, 3.8833], [3.8833, 0.0000, 3.8833], [3.8833, 3.8833, 0.0000]], "species": ["Sr", "Cu", "Au", "Au", "Au", "Au"], "frac_coords": [[0.0000, 0.0000, 0.0000], [0.2500, 0.2500, 0.2500], [0.1270, 0.6243, 0.6243], [0.6243, 0.1270, 0.6243], [0.6243, 0.6243, 0.1270], [0.6243, 0.6243, 0.6243]]}